[1]
Compound: Nd3Si2Ge4
Source: Alexandria via LeMat-Bulk
Functional: GGA-PBE
Structure: optimized geometry

For the uncorrected formation energy, the calculation gives -0.567 eV/atom. The calculation puts the electronic total energy at -97.45 eV/cell. As for the volume: 404.6 Å³/cell.

The space group is C2/m (No. 12) and the conventional cell measures 11.438, 4.095 and 9.021 Å, with angles of 90.00, 106.73 and 90.00 degrees. The inequivalent atoms are Nd at (0.000, 0.000, 0.000), Nd at (0.168, 0.500, 0.661), Si at (0.113, 0.500, 0.273), Ge at (0.054, 0.000, 0.385) and Ge at (0.220, 0.500, 0.067).

---

[2]
Compound: GaSn2H
Source: Alexandria via LeMat-Bulk
Functional: GGA-PBE
Structure: optimized geometry

The polymorph energy (0 for the lowest one) is 25 kJ/mol of formula units. The calculation puts the electronic total energy at -51.60 eV/cell. As for the volume: 313.4 Å³/cell.

The space group is Fm-3m (No. 225) and the conventional cell measures 6.793, 6.793 and 6.793 Å, with angles of 90.00, 90.00 and 90.00 degrees. The inequivalent atoms are Ga at (0.000, 0.000, 0.000), Sn at (0.250, 0.250, 0.250) and H at (0.000, 0.000, 0.500).